Entry 1:
A relaxed Rb2NaAu7 crystal. Source: OQMD via LeMat-Bulk, functional GGA-PBE.

Cell lengths 7.305, 7.305, 7.430 Å; angles 90.00, 90.00, 135.62 degrees
Positions (direct):
Rb (0.160, 0.840, 0.000)
Rb (0.840, 0.160, 0.000)
Na (0.000, 0.000, 0.500)
Au (0.000, 0.500, 0.500)
Au (0.396, 0.604, 0.309)
Au (0.396, 0.604, 0.691)
Au (0.500, 0.000, 0.500)
Au (0.500, 0.500, 0.000)
Au (0.604, 0.396, 0.309)
Au (0.604, 0.396, 0.691)

The space-group type is Cmmm. The total energy is -2.87 eV/atom.



Entry 2:
A relaxed RbNaAu crystal. Source: OQMD via LeMat-Bulk, functional GGA-PBE.

Cell lengths 7.826, 7.826, 7.826 Å; angles 90.00, 90.00, 90.00 degrees
Positions (direct):
Rb (0.000, 0.000, 0.000)
Rb (0.000, 0.500, 0.500)
Rb (0.500, 0.000, 0.500)
Rb (0.500, 0.500, 0.000)
Na (0.000, 0.000, 0.500)
Na (0.000, 0.500, 0.000)
Na (0.500, 0.000, 0.000)
Na (0.500, 0.500, 0.500)
Au (0.250, 0.250, 0.750)
Au (0.250, 0.750, 0.250)
Au (0.750, 0.250, 0.250)
Au (0.750, 0.750, 0.750)

The space-group type is F-43m. The total energy is -1.96 eV/atom.



Entry 3:
A relaxed RbNaAu2S2 crystal. Source: OQMD via LeMat-Bulk, functional GGA-PBE.

Cell lengths 6.557, 6.265, 8.458 Å; angles 90.00, 90.00, 90.00 degrees
Positions (direct):
Rb (0.000, 0.000, 0.000)
Rb (0.000, 0.500, 0.500)
Na (0.500, 0.000, 0.691)
Na (0.500, 0.500, 0.191)
Au (0.249, 0.000, 0.389)
Au (0.249, 0.500, 0.889)
Au (0.751, 0.000, 0.389)
Au (0.751, 0.500, 0.889)
S (0.000, 0.000, 0.588)
S (0.000, 0.500, 0.088)
S (0.500, 0.000, 0.194)
S (0.500, 0.500, 0.694)

The space-group type is Amm2. The total energy is -3.52 eV/atom.



Entry 4:
A relaxed RbNaAu2Se2 crystal. Source: OQMD via LeMat-Bulk, functional GGA-PBE.

Cell lengths 6.759, 6.438, 8.650 Å; angles 90.00, 90.00, 90.00 degrees
Positions (direct):
Rb (0.000, 0.000, 0.000)
Rb (0.000, 0.500, 0.500)
Na (0.500, 0.000, 0.321)
Na (0.500, 0.500, 0.821)
Au (0.248, 0.000, 0.616)
Au (0.248, 0.500, 0.116)
Au (0.752, 0.000, 0.616)
Au (0.752, 0.500, 0.116)
Se (0.000, 0.000, 0.406)
Se (0.000, 0.500, 0.906)
Se (0.500, 0.000, 0.820)
Se (0.500, 0.500, 0.320)

The space-group type is Amm2. The total energy is -3.30 eV/atom.



Entry 5:
A relaxed NaReAu crystal. Source: OQMD via LeMat-Bulk, functional GGA-PBE.

Cell lengths 6.282, 6.282, 6.282 Å; angles 90.00, 90.00, 90.00 degrees
Positions (direct):
Na (0.000, 0.000, 0.000)
Na (0.000, 0.500, 0.500)
Na (0.500, 0.000, 0.500)
Na (0.500, 0.500, 0.000)
Re (0.000, 0.000, 0.500)
Re (0.000, 0.500, 0.000)
Re (0.500, 0.000, 0.000)
Re (0.500, 0.500, 0.500)
Au (0.250, 0.250, 0.250)
Au (0.250, 0.750, 0.750)
Au (0.750, 0.250, 0.750)
Au (0.750, 0.750, 0.250)

The calculation puts the energy above the lowest structure with this stoichiometry at 0 meV/atom. The space-group type is F-43m. The total energy is -4.30 eV/atom.



Entry 6:
A relaxed NaReAuSeS2 crystal. Source: OQMD via LeMat-Bulk, functional GGA-PBE.

Cell lengths 7.732, 7.732, 9.894 Å; angles 90.00, 90.00, 153.45 degrees
Positions (direct):
Na (0.209, 0.791, 0.750)
Na (0.791, 0.209, 0.250)
Re (0.500, 0.500, 0.000)
Re (0.500, 0.500, 0.500)
Au (0.132, 0.868, 0.250)
Au (0.868, 0.132, 0.750)
Se (0.450, 0.550, 0.250)
Se (0.550, 0.450, 0.750)
S (0.112, 0.888, 0.018)
S (0.112, 0.888, 0.482)
S (0.888, 0.112, 0.518)
S (0.888, 0.112, 0.982)

The space-group type is Cmcm. The total energy is -4.99 eV/atom.



Entry 7:
A relaxed NaReTeAuS2 crystal. Source: OQMD via LeMat-Bulk, functional GGA-PBE.

Cell lengths 7.975, 7.975, 10.401 Å; angles 90.00, 90.00, 154.44 degrees
Positions (direct):
Na (0.231, 0.769, 0.750)
Na (0.769, 0.231, 0.250)
Re (0.500, 0.500, 0.000)
Re (0.500, 0.500, 0.500)
Te (0.437, 0.563, 0.250)
Te (0.563, 0.437, 0.750)
Au (0.118, 0.882, 0.250)
Au (0.882, 0.118, 0.750)
S (0.107, 0.893, 0.026)
S (0.107, 0.893, 0.474)
S (0.893, 0.107, 0.526)
S (0.893, 0.107, 0.974)

The space-group type is Cmcm. The total energy is -4.88 eV/atom.



Entry 8:
A relaxed NaReAu3Se4 crystal. Source: OQMD via LeMat-Bulk, functional GGA-PBE.

Cell lengths 6.294, 6.294, 6.294 Å; angles 90.00, 90.00, 90.00 degrees
Positions (direct):
Na (0.000, 0.000, 0.000)
Re (0.500, 0.500, 0.500)
Au (0.000, 0.500, 0.500)
Au (0.500, 0.000, 0.500)
Au (0.500, 0.500, 0.000)
Se (0.273, 0.273, 0.273)
Se (0.273, 0.727, 0.727)
Se (0.727, 0.273, 0.727)
Se (0.727, 0.727, 0.273)

The space-group type is P-43m. The total energy is -4.12 eV/atom.



Entry 9:
A relaxed NaAuS crystal. Source: OQMD via LeMat-Bulk, functional GGA-PBE.

Cell lengths 12.982, 12.982, 7.150 Å; angles 90.00, 90.00, 110.53 degrees
Positions (direct):
Na (0.002, 0.502, 0.750)
Na (0.123, 0.253, 0.088)
Na (0.137, 0.863, 0.750)
Na (0.247, 0.377, 0.588)
Na (0.253, 0.123, 0.588)
Na (0.363, 0.637, 0.750)
Na (0.377, 0.247, 0.088)
Na (0.498, 0.998, 0.750)
Na (0.502, 0.002, 0.250)
Na (0.623, 0.753, 0.912)
Na (0.637, 0.363, 0.250)
Na (0.747, 0.877, 0.412)
Na (0.753, 0.623, 0.412)
Na (0.863, 0.137, 0.250)
Na (0.877, 0.747, 0.912)
Na (0.998, 0.498, 0.250)
Au (0.000, 0.000, 0.000)
Au (0.000, 0.000, 0.500)
Au (0.004, 0.750, 0.279)
Au (0.250, 0.504, 0.221)
Au (0.250, 0.750, 0.028)
Au (0.250, 0.750, 0.472)
Au (0.250, 0.996, 0.221)
Au (0.496, 0.750, 0.279)
Au (0.500, 0.500, 0.000)
Au (0.500, 0.500, 0.500)
Au (0.504, 0.250, 0.721)
Au (0.750, 0.004, 0.779)
Au (0.750, 0.250, 0.528)
Au (0.750, 0.250, 0.972)
Au (0.750, 0.496, 0.779)
Au (0.996, 0.250, 0.721)
S (0.058, 0.682, 0.007)
S (0.069, 0.190, 0.463)
S (0.182, 0.558, 0.493)
S (0.190, 0.069, 0.963)
S (0.310, 0.431, 0.963)
S (0.318, 0.942, 0.493)
S (0.431, 0.310, 0.463)
S (0.442, 0.818, 0.007)
S (0.558, 0.182, 0.993)
S (0.569, 0.690, 0.537)
S (0.682, 0.058, 0.507)
S (0.690, 0.569, 0.037)
S (0.810, 0.931, 0.037)
S (0.818, 0.442, 0.507)
S (0.931, 0.810, 0.537)
S (0.942, 0.318, 0.993)

The space-group type is Ccce. The total energy is -3.58 eV/atom.



Entry 10:
A relaxed Na2AuS2 crystal. Source: OQMD via LeMat-Bulk, functional GGA-PBE.

Cell lengths 9.953, 3.824, 5.942 Å; angles 90.00, 101.50, 90.00 degrees
Positions (direct):
Na (0.163, 0.000, 0.218)
Na (0.337, 0.500, 0.782)
Na (0.663, 0.500, 0.218)
Na (0.837, 0.000, 0.782)
Au (0.000, 0.500, 0.500)
Au (0.500, 0.000, 0.500)
S (0.120, 0.000, 0.731)
S (0.380, 0.500, 0.269)
S (0.620, 0.500, 0.731)
S (0.880, 0.000, 0.269)

The space-group type is C2/m. The total energy is -3.48 eV/atom.



Entry 11:
A relaxed Na7Au5S6 crystal. Source: OQMD via LeMat-Bulk, functional GGA-PBE.

Cell lengths 10.555, 7.113, 22.528 Å; angles 90.00, 90.00, 90.00 degrees
Positions (direct):
Na (0.000, 0.001, 0.250)
Na (0.000, 0.999, 0.750)
Na (0.107, 0.375, 0.543)
Na (0.107, 0.625, 0.043)
Na (0.123, 0.163, 0.120)
Na (0.123, 0.837, 0.620)
Na (0.240, 0.002, 0.410)
Na (0.240, 0.998, 0.910)
Na (0.260, 0.498, 0.910)
Na (0.260, 0.502, 0.410)
Na (0.377, 0.337, 0.620)
Na (0.377, 0.663, 0.120)
Na (0.393, 0.125, 0.043)
Na (0.393, 0.875, 0.543)
Na (0.500, 0.499, 0.750)
Na (0.500, 0.501, 0.250)
Na (0.607, 0.125, 0.457)
Na (0.607, 0.875, 0.957)
Na (0.623, 0.337, 0.880)
Na (0.623, 0.663, 0.380)
Na (0.740, 0.498, 0.590)
Na (0.740, 0.502, 0.090)
Na (0.760, 0.002, 0.090)
Na (0.760, 0.998, 0.590)
Na (0.877, 0.163, 0.380)
Na (0.877, 0.837, 0.880)
Na (0.893, 0.375, 0.957)
Na (0.893, 0.625, 0.457)
Au (0.000, 0.000, 0.000)
Au (0.000, 0.000, 0.500)
Au (0.001, 0.470, 0.670)
Au (0.001, 0.530, 0.170)
Au (0.243, 0.272, 0.248)
Au (0.243, 0.728, 0.748)
Au (0.257, 0.228, 0.748)
Au (0.257, 0.772, 0.248)
Au (0.499, 0.030, 0.170)
Au (0.499, 0.970, 0.670)
Au (0.500, 0.500, 0.000)
Au (0.500, 0.500, 0.500)
Au (0.501, 0.030, 0.330)
Au (0.501, 0.970, 0.830)
Au (0.743, 0.228, 0.752)
Au (0.743, 0.772, 0.252)
Au (0.757, 0.272, 0.252)
Au (0.757, 0.728, 0.752)
Au (0.999, 0.470, 0.830)
Au (0.999, 0.530, 0.330)
S (0.122, 0.258, 0.334)
S (0.122, 0.742, 0.834)
S (0.133, 0.209, 0.662)
S (0.133, 0.791, 0.162)
S (0.144, 0.250, 0.998)
S (0.144, 0.750, 0.498)
S (0.356, 0.250, 0.498)
S (0.356, 0.750, 0.998)
S (0.367, 0.291, 0.162)
S (0.367, 0.709, 0.662)
S (0.378, 0.242, 0.834)
S (0.378, 0.758, 0.334)
S (0.622, 0.242, 0.666)
S (0.622, 0.758, 0.166)
S (0.633, 0.291, 0.338)
S (0.633, 0.709, 0.838)
S (0.644, 0.250, 0.002)
S (0.644, 0.750, 0.502)
S (0.856, 0.250, 0.502)
S (0.856, 0.750, 0.002)
S (0.867, 0.209, 0.838)
S (0.867, 0.791, 0.338)
S (0.878, 0.258, 0.166)
S (0.878, 0.742, 0.666)

The space-group type is Pbcn. The total energy is -3.55 eV/atom.



Entry 12:
A relaxed NaAuS3 crystal. Source: OQMD via LeMat-Bulk, functional GGA-PBE.

Cell lengths 6.382, 6.382, 6.939 Å; angles 93.17, 93.17, 117.92 degrees
Positions (direct):
Na (0.134, 0.866, 0.750)
Na (0.866, 0.134, 0.250)
Au (0.419, 0.581, 0.750)
Au (0.581, 0.419, 0.250)
S (0.129, 0.294, 0.913)
S (0.197, 0.803, 0.250)
S (0.294, 0.129, 0.413)
S (0.706, 0.871, 0.587)
S (0.803, 0.197, 0.750)
S (0.871, 0.706, 0.087)

The space-group type is C2/c. The total energy is -3.73 eV/atom.



- Among the records above, which one has the lowest total energy?
  NaReAuSeS2